The following is a PBE calculation of a relaxed structure of LiScUSe4, from Alexandria via LeMat-Bulk.

```
LiScUSe4
1.0
-3.958 4.172 5.653
3.958 -4.172 5.653
3.958 4.172 -5.653
Li Sc U Se
2 2 2 8
Cartesian
0.000 2.086 1.559
3.958 2.086 4.094
1.979 2.086 -2.827
1.979 -2.086 2.827
3.958 0.000 0.000
0.000 0.000 5.653
3.958 -0.196 2.809
3.958 3.976 -2.809
2.033 2.086 -0.089
5.883 2.086 -0.089
-1.925 2.086 5.742
1.925 2.086 5.742
0.000 0.196 8.462
0.000 4.369 2.844
```

Size of the total moment, μB/f.u.: 2.0
Raw total energy, eV per atom: -6.164